No. 1
The following is a GGA-PBE calculation of a relaxed structure of Ac9Ni3Au, from the Alexandria database.

```
Ac9Ni3Au
1.0
7.191 0.000 0.000
0.000 11.277 0.000
-1.277 0.000 11.964
Ac Ni Au
18 6 2
Direct
0.090 0.250 0.196 Ac
0.149 0.576 0.381 Ac
0.149 0.924 0.381 Ac
0.210 0.250 0.858 Ac
0.257 0.567 0.042 Ac
0.257 0.933 0.042 Ac
0.353 0.250 0.527 Ac
0.364 0.572 0.710 Ac
0.364 0.928 0.710 Ac
0.636 0.072 0.290 Ac
0.636 0.428 0.290 Ac
0.647 0.750 0.473 Ac
0.743 0.067 0.958 Ac
0.743 0.433 0.958 Ac
0.790 0.750 0.142 Ac
0.851 0.076 0.619 Ac
0.851 0.424 0.619 Ac
0.910 0.750 0.804 Ac
0.052 0.004 0.830 Ni
0.052 0.496 0.830 Ni
0.500 0.000 0.500 Ni
0.500 0.500 0.500 Ni
0.948 0.504 0.170 Ni
0.948 0.996 0.170 Ni
0.480 0.250 0.087 Au
0.520 0.750 0.913 Au
```

Output
ΔH_f (0 K) in eV/atom: -0.178
Density of states at the Fermi level in states/eV/cell: 32.98
Space group: P2_1/m (11)



No. 2
The following is a GGA-PBE calculation of a relaxed structure of ScIrRu2, from the Alexandria database.

```
ScIrRu2
1.0
9.252 0.000 0.000
0.000 2.842 0.000
-0.873 0.000 4.699
Sc Ir Ru
2 2 4
Direct
0.000 0.000 0.000 Sc
0.500 0.500 0.000 Sc
0.000 0.500 0.500 Ir
0.500 0.000 0.500 Ir
0.238 0.000 0.726 Ru
0.262 0.500 0.274 Ru
0.738 0.500 0.726 Ru
0.762 0.000 0.274 Ru
```

Output
ΔH_f (0 K) in eV/atom: -0.217
Density of states at the Fermi level in states/eV/cell: 9.79
Space group: C2/m (12)



No. 3
The following is a GGA-PBE calculation of a relaxed structure of Dy4Y6Sc, from the Alexandria database.

```
Dy4Y6Sc
1.0
2.812 -4.807 0.000
2.812 4.807 0.000
0.000 0.000 25.604
Dy Y Sc
8 12 2
Direct
0.015 0.985 0.621 Dy
0.015 0.985 0.879 Dy
0.338 0.662 0.543 Dy
0.338 0.662 0.957 Dy
0.662 0.338 0.043 Dy
0.662 0.338 0.457 Dy
0.985 0.015 0.121 Dy
0.985 0.015 0.379 Dy
0.000 0.000 0.000 Y
0.000 0.000 0.500 Y
0.011 0.989 0.750 Y
0.321 0.679 0.107 Y
0.321 0.679 0.393 Y
0.346 0.654 0.683 Y
0.346 0.654 0.817 Y
0.654 0.346 0.183 Y
0.654 0.346 0.317 Y
0.679 0.321 0.607 Y
0.679 0.321 0.893 Y
0.989 0.011 0.250 Y
0.323 0.677 0.250 Sc
0.677 0.323 0.750 Sc
```

Output
ΔH_f (0 K) in eV/atom: 0.134
Density of states at the Fermi level in states/eV/cell: 40.04
Space group: Cmcm (63)